# 1
## Ce4Bi5H2 (PBE)

Data for a relaxed Ce4Bi5H2 crystal.

Computed properties:
density of states at the Fermi level: 47.16 states/eV/cell
mass density: 8169 kg/m³
electronic total energy: -5.007 eV per atom

Cell: 15.942 4.409 9.299 Å, 90.00 91.04 90.00°
Space group C2/m (No. 12)
Symmetry-distinct sites (fractional):
1 Ce 0.007 0.000 0.246 [4 per cell]
2 Ce 0.206 0.500 0.218 [4 per cell]
3 Bi 0.000 0.500 0.500 [2 per cell]
4 Bi 0.138 0.000 0.990 [4 per cell]
5 Bi 0.165 0.000 0.498 [4 per cell]
6 H 0.062 0.500 0.206 [4 per cell]


# 2
## ErMgZnOs (PBE)

Data for a relaxed ErMgZnOs crystal.

Computed properties:
density of states at the Fermi level: 14.97 states/eV/cell
mass density: 10088 kg/m³
electronic total energy: -4.715 eV per atom

Cell: 6.653 6.653 6.653 Å, 90.00 90.00 90.00°
Space group F-43m (No. 216)
Symmetry-distinct sites (fractional):
1 Er 0.000 0.000 0.000 [4 per cell]
2 Mg 0.000 0.000 0.500 [4 per cell]
3 Zn 0.250 0.250 0.250 [4 per cell]
4 Os 0.250 0.250 0.750 [4 per cell]


# 3
## K2NaInPd (PBE)

Data for a relaxed K2NaInPd crystal.

Computed properties:
density of states at the Fermi level: 3.71 states/eV/cell
mass density: 2631 kg/m³
electronic total energy: -2.320 eV per atom

Cell: 6.200 6.200 5.294 Å, 90.00 90.00 90.00°
Space group P4/mmm (No. 123)
Symmetry-distinct sites (fractional):
1 K 0.000 0.500 0.000 [2 per cell]
2 Na 0.000 0.000 0.500 [1 per cell]
3 In 0.500 0.500 0.500 [1 per cell]
4 Pd 0.500 0.500 0.000 [1 per cell]


# 4
## Mn6Co5Os (PBE)

Data for a relaxed Mn6Co5Os crystal.

Computed properties:
density of states at the Fermi level: 17.58 states/eV/cell
mass density: 9401 kg/m³
electronic total energy: -8.473 eV per atom

Cell: 4.075 5.778 12.220 Å, 90.00 90.00 90.00°
Space group Immm (No. 71)
Symmetry-distinct sites (fractional):
1 Mn 0.000 0.241 0.000 [4 per cell]
2 Mn 0.000 0.254 0.331 [8 per cell]
3 Co 0.000 0.000 0.168 [4 per cell]
4 Co 0.000 0.500 0.165 [4 per cell]
5 Co 0.000 0.500 0.500 [2 per cell]
6 Os 0.000 0.000 0.500 [2 per cell]


# 5
## Al2RhAu (PBE)

Data for a relaxed Al2RhAu crystal.

Computed properties:
density of states at the Fermi level: 6.49 states/eV/cell
mass density: 9853 kg/m³
energy above the most stable polymorph in this dataset: 69.9 meV per atom

Cell: 6.202 6.202 6.202 Å, 90.00 90.00 90.00°
Space group Fm-3m (No. 225)
Symmetry-distinct sites (fractional):
1 Al 0.250 0.250 0.250 [8 per cell]
2 Rh 0.000 0.000 0.000 [4 per cell]
3 Au 0.000 0.000 0.500 [4 per cell]


# 6
## Pr2Nd7Ho2 (PBE)

Data for a relaxed Pr2Nd7Ho2 crystal.

Computed properties:
density of states at the Fermi level: 32.21 states/eV/cell
mass density: 7005 kg/m³
energy above the most stable polymorph in this dataset: 21.5 meV per atom

Cell: 7.099 10.598 10.234 Å, 90.00 93.32 90.00°
Space group C2/m (No. 12)
Symmetry-distinct sites (fractional):
1 Pr 0.214 0.000 0.296 [4 per cell]
2 Nd 0.000 0.500 0.000 [2 per cell]
3 Nd 0.118 0.203 0.852 [8 per cell]
4 Nd 0.189 0.500 0.362 [4 per cell]
5 Ho 0.000 0.230 0.500 [4 per cell]


# 7
## Sc2WAu (PBE)

Data for a relaxed Sc2WAu crystal.

Computed properties:
density of states at the Fermi level: 14.21 states/eV/cell
mass density: 10441 kg/m³
energy above the most stable polymorph in this dataset: 145.2 meV per atom

Cell: 6.690 6.690 6.690 Å, 90.00 90.00 90.00°
Space group Fm-3m (No. 225)
Symmetry-distinct sites (fractional):
1 Sc 0.250 0.250 0.250 [8 per cell]
2 W 0.000 0.000 0.000 [4 per cell]
3 Au 0.000 0.000 0.500 [4 per cell]


# 8
## EuY2Ir (PBE)

Data for a relaxed EuY2Ir crystal.

Computed properties:
density of states at the Fermi level: 10.08 states/eV/cell
mass density: 6448 kg/m³
energy above the most stable polymorph in this dataset: 12.5 meV per atom

Cell: 4.0681 4.0681 28.1366 Å, 90.00 90.00 120.00°
Space group R-3m (No. 166, hexagonal axes)
Symmetry-distinct sites (fractional):
1 Eu 0.0000 0.0000 0.0000 [3 per cell]
2 Y 0.0000 0.0000 0.2184 [6 per cell]
3 Ir 0.0000 0.0000 0.5000 [3 per cell]


# 9
## Mo2RuAu (PBE)

Data for a relaxed Mo2RuAu crystal.

Computed properties:
density of states at the Fermi level: 5.84 states/eV/cell
mass density: 13024 kg/m³
energy above the most stable polymorph in this dataset: 78.4 meV per atom

Cell: 5.529 8.053 2.806 Å, 90.00 90.00 90.00°
Space group Cmmm (No. 65)
Symmetry-distinct sites (fractional):
1 Mo 0.250 0.250 0.000 [4 per cell]
2 Ru 0.000 0.000 0.500 [2 per cell]
3 Au 0.000 0.500 0.500 [2 per cell]


# 10
## BaTiAsC2 (PBE)

Data for a relaxed BaTiAsC2 crystal.

Computed properties:
density of states at the Fermi level: 6.42 states/eV/cell
mass density: 4061 kg/m³
electronic total energy: -3.624 eV per atom

Cell: 4.499 4.499 5.738 Å, 90.00 90.00 90.00°
Space group P4/mmm (No. 123)
Symmetry-distinct sites (fractional):
1 Ba 0.000 0.000 0.000 [1 per cell]
2 Ti 0.000 0.000 0.500 [1 per cell]
3 As 0.500 0.500 0.500 [1 per cell]
4 C 0.000 0.500 0.000 [2 per cell]


# 11
## ScTlPd (PBE)

Data for a relaxed ScTlPd crystal.

Computed properties:
density of states at the Fermi level: 2.80 states/eV/cell
mass density: 9636 kg/m³
electronic total energy: -5.068 eV per atom

Cell: 4.6991 4.6991 3.2059 Å, 90.00 90.00 120.00°
Space group P3m1 (No. 156)
Symmetry-distinct sites (fractional):
1 Sc 0.0000 0.0000 0.0000 [1 per cell]
2 Tl 0.3333 0.6667 0.5006 [1 per cell]
3 Pd 0.6667 0.3333 0.4984 [1 per cell]


# 12
## SmMn4 (PBE)

Data for a relaxed SmMn4 crystal.

Computed properties:
density of states at the Fermi level: 5.01 states/eV/cell
mass density: 5247 kg/m³
electronic total energy: -6.501 eV per atom

Cell: 4.893 4.893 4.893 Å, 90.00 90.00 90.00°
Space group Pm-3m (No. 221)
Symmetry-distinct sites (fractional):
1 Sm 0.000 0.000 0.000 [1 per cell]
2 Mn 0.000 0.000 0.500 [3 per cell]
3 Mn 0.500 0.500 0.500 [1 per cell]


# 13
## Nd2Sn4Rh (PBE)

Data for a relaxed Nd2Sn4Rh crystal.

Computed properties:
density of states at the Fermi level: 5.73 states/eV/cell
mass density: 7871 kg/m³
energy above the most stable polymorph in this dataset: 0.0 meV per atom

Cell: 4.571 4.586 17.436 Å, 90.00 90.00 90.00°
Space group Amm2 (No. 38)
Symmetry-distinct sites (fractional):
1 Nd 0.000 0.000 0.000 [2 per cell]
2 Nd 0.500 0.000 0.209 [2 per cell]
3 Sn 0.000 0.000 0.344 [2 per cell]
4 Sn 0.000 0.000 0.675 [2 per cell]
5 Sn 0.500 0.000 0.564 [2 per cell]
6 Sn 0.500 0.000 0.844 [2 per cell]
7 Rh 0.500 0.000 0.416 [2 per cell]